18
Lattice="-0.790 -2.918 -5.605 -3.195 -2.026 5.123 -8.078 6.742 -2.371" Properties=species:S:1:pos:R:3 comment="PuBeSn PBE-GGA relaxed" dos_at_fermi_per_ev_fu=7.56 e_form_ev_per_atom=-0.01 space_group="P6_222, No. 180" magnetic_moment_mub_per_cell=35.323 pbc="T T T"
Pu -5.780 3.036 -4.383
Pu -4.039 3.371 -1.186
Pu -6.732 5.618 -1.976
Pu -1.346 1.124 -0.395
Pu -1.992 -2.472 -0.241
Pu -4.290 1.234 1.771
Be -4.212 -1.659 1.457
Be -8.637 2.480 -4.406
Be -5.789 0.809 -2.509
Be -2.465 -1.038 -2.730
Be -6.274 0.989 -0.345
Be -8.811 3.812 -0.029
Sn -4.329 -0.522 -0.927
Sn -6.627 3.184 1.085
Sn -7.734 2.319 -1.927
Sn -1.953 -0.716 2.457
Sn -8.117 4.986 -5.069
Sn -3.443 1.085 -3.697